No. 1
VASP calculation (PBE) on a relaxed Tc2BrCl crystal.

For the density of states at the Fermi level, the calculation gives 13.21 states/eV per cell.

It has space group Fm-3m (No. 225), with a = 6.277 Å, b = 6.277 Å, c = 6.277 Å, α = 90.00°, β = 90.00° and γ = 90.00°. The distinct sites, in fractional coordinates, are Tc at (0.250, 0.250, 0.250), Br at (0.000, 0.000, 0.000) and Cl at (0.000, 0.000, 0.500).

No. 2
VASP calculation (PBE) on a relaxed Tc2BrCl crystal.

For the density of states at the Fermi level, the calculation gives 7.20 states/eV per cell.

It has space group Cm (No. 8), with a = 9.076 Å, b = 3.363 Å, c = 7.121 Å, α = 90.00°, β = 110.73° and γ = 90.00°. The distinct sites, in fractional coordinates, are Tc at (0.000, 0.000, 0.000), Tc at (0.167, 0.500, 0.000), Br at (0.260, 0.000, 0.735) and Cl at (0.401, 0.000, 0.243).

Number 1: ΔE_f (raw) 1.06 eV per atom, excess energy over the best structure of this formula in the dataset 1.085 eV per atom, volume 15.46 Å³ per atom. Number 2: ΔE_f (raw) 0.46 eV per atom, excess energy over the best structure of this formula in the dataset 0.479 eV per atom, volume 25.41 Å³ per atom.